TaCu2Ag | GGA-PBE | optimized geometry

abc: 4.2039 4.2039 6.7942
angles: 90.00 90.00 90.00
Last column: nearest neighbours and their distance in Å.
Space group I-4m2 (No. 119)
Asymmetric unit:
Ta: 0.0000 0.0000 0.0000 (multiplicity 2)  8 Cu 2.70-2.97, 4 Ag 2.70
Cu: 0.0000 0.0000 0.5000 (multiplicity 2)  4 Cu 2.70, 4 Ag 2.70, 4 Ta 2.97
Cu: 0.0000 0.5000 0.2500 (multiplicity 2)  4 Ta 2.70, 4 Cu 2.70, 4 Ag 2.97
Ag: 0.0000 0.5000 0.7500 (multiplicity 2)  4 Ta 2.70, 8 Cu 2.70-2.97

Calculated values
Formation energy from the elements = 32.4 kJ/mol of atoms
Total magnetization = 0.0 μB/f.u.